1.
# In7Hg5

A geometry-optimized In7Hg5 structure (PBE, the Alexandria database).

Geometry as POSCAR:
```
In7Hg5
1.0
8.484 -1.676 0.000
8.484 1.676 0.000
-8.213 0.000 11.227
In Hg
7 5
direct
0.000 0.000 0.000 In
0.302 0.302 0.751 In
0.338 0.338 0.504 In
0.371 0.371 0.249 In
0.629 0.629 0.751 In
0.662 0.662 0.496 In
0.698 0.698 0.249 In
0.000 0.000 0.500 Hg
0.033 0.033 0.248 Hg
0.330 0.330 0.996 Hg
0.670 0.670 0.004 Hg
0.967 0.967 0.752 Hg
```

Results
Formation enthalpy at 0 K ... 0.018 eV per atom
Space-group type ... C2/m, No. 12

---

2.
# In2Hg7

A geometry-optimized In2Hg7 structure (PBE, the Alexandria database).

Geometry as POSCAR:
```
In2Hg7
1.0
5.960 0.000 0.000
-2.980 5.162 0.000
0.000 0.000 7.950
In Hg
2 7
direct
0.333 0.667 0.000 In
0.667 0.333 0.000 In
0.000 0.000 0.000 Hg
0.000 0.333 0.666 Hg
0.000 0.667 0.334 Hg
0.333 0.000 0.666 Hg
0.333 0.333 0.334 Hg
0.667 0.000 0.334 Hg
0.667 0.667 0.666 Hg
```

Results
Formation enthalpy at 0 K ... -0.001 eV per atom
Space-group type ... P-31m, No. 162

---

3.
# InHg

A geometry-optimized InHg structure (PBE, the Alexandria database).

Geometry as POSCAR:
```
InHg
1.0
8.568 0.000 0.000
-4.284 7.420 0.000
0.000 0.000 5.321
In Hg
6 6
direct
0.095 0.603 0.250 In
0.397 0.491 0.250 In
0.491 0.095 0.750 In
0.509 0.905 0.250 In
0.603 0.509 0.750 In
0.905 0.397 0.750 In
0.086 0.822 0.750 Hg
0.178 0.264 0.750 Hg
0.264 0.086 0.250 Hg
0.736 0.914 0.750 Hg
0.822 0.736 0.250 Hg
0.914 0.178 0.250 Hg
```

Results
Formation enthalpy at 0 K ... 0.050 eV per atom
Space-group type ... P6_3/m, No. 176

---

4.
# InHg11

A geometry-optimized InHg11 structure (PBE, the Alexandria database).

Geometry as POSCAR:
```
InHg11
1.0
10.861 0.000 0.000
-5.431 9.406 0.000
0.000 0.000 3.224
In Hg
1 11
direct
0.000 0.000 0.000 In
0.000 0.500 0.000 Hg
0.171 0.342 0.500 Hg
0.171 0.829 0.500 Hg
0.333 0.667 0.000 Hg
0.342 0.171 0.500 Hg
0.500 0.000 0.000 Hg
0.500 0.500 0.000 Hg
0.658 0.829 0.500 Hg
0.667 0.333 0.000 Hg
0.829 0.171 0.500 Hg
0.829 0.658 0.500 Hg
```

Results
Formation enthalpy at 0 K ... 0.015 eV per atom
Space-group type ... P6/mmm, No. 191

---

5.
# InHg6

A geometry-optimized InHg6 structure (PBE, the Alexandria database).

Geometry as POSCAR:
```
InHg6
1.0
-4.088 4.088 4.088
4.088 -4.088 4.088
4.088 4.088 -4.088
In Hg
1 6
direct
0.000 0.000 0.000 In
0.250 0.500 0.750 Hg
0.250 0.750 0.500 Hg
0.500 0.250 0.750 Hg
0.500 0.750 0.250 Hg
0.750 0.250 0.500 Hg
0.750 0.500 0.250 Hg
```

Results
Formation enthalpy at 0 K ... 0.272 eV per atom
Space-group type ... Im-3m, No. 229

---

6.
# InHg

A geometry-optimized InHg structure (PBE, the Alexandria database).

Geometry as POSCAR:
```
InHg
1.0
6.931 0.000 0.000
0.000 4.923 0.000
0.000 0.000 6.268
In Hg
4 4
direct
0.114 0.250 0.135 In
0.386 0.750 0.635 In
0.614 0.250 0.365 In
0.886 0.750 0.865 In
0.108 0.250 0.633 Hg
0.392 0.750 0.133 Hg
0.608 0.250 0.867 Hg
0.892 0.750 0.367 Hg
```

Results
Formation enthalpy at 0 K ... 0.004 eV per atom
Space-group type ... Pnma, No. 62

---

7.
# InHg

A geometry-optimized InHg structure (PBE, the Alexandria database).

Geometry as POSCAR:
```
InHg
1.0
0.000 5.174 6.234
3.418 0.000 6.234
3.418 5.174 0.000
In Hg
4 4
direct
0.124 0.626 0.124 In
0.374 0.876 0.374 In
0.626 0.124 0.626 In
0.876 0.374 0.876 In
0.126 0.624 0.624 Hg
0.376 0.874 0.874 Hg
0.624 0.126 0.126 Hg
0.874 0.376 0.376 Hg
```

Results
Formation enthalpy at 0 K ... 0.018 eV per atom
Space-group type ... Fddd, No. 70

---

8.
# In5Hg

A geometry-optimized In5Hg structure (PBE, the Alexandria database).

Geometry as POSCAR:
```
In5Hg
1.0
6.108 -1.749 0.000
6.108 1.749 0.000
-2.214 0.000 7.560
In Hg
5 1
direct
0.000 0.000 0.000 In
0.053 0.053 0.611 In
0.387 0.387 0.278 In
0.667 0.667 0.339 In
0.722 0.722 0.943 In
0.332 0.332 0.670 Hg
```

Results
Formation enthalpy at 0 K ... 0.016 eV per atom
Space-group type ... Cm, No. 8

---

9.
# In3Hg2

A geometry-optimized In3Hg2 structure (PBE, the Alexandria database).

Geometry as POSCAR:
```
In3Hg2
1.0
4.369 2.522 4.151
-4.369 2.522 4.151
0.000 -5.045 4.151
In Hg
6 4
direct
0.066 0.750 0.434 In
0.250 0.566 0.934 In
0.434 0.066 0.750 In
0.566 0.934 0.250 In
0.750 0.434 0.066 In
0.934 0.250 0.566 In
0.123 0.123 0.123 Hg
0.377 0.377 0.377 Hg
0.623 0.623 0.623 Hg
0.877 0.877 0.877 Hg
```

Results
Formation enthalpy at 0 K ... 0.032 eV per atom
Space-group type ... R-3c, No. 167

---

10.
# In5Hg7

A geometry-optimized In5Hg7 structure (PBE, the Alexandria database).

Geometry as POSCAR:
```
In5Hg7
1.0
7.482 -1.928 0.000
7.482 1.928 0.000
-0.506 0.000 11.434
In Hg
5 7
direct
0.000 0.000 0.000 In
0.164 0.164 0.500 In
0.418 0.418 0.248 In
0.582 0.582 0.752 In
0.836 0.836 0.500 In
0.085 0.085 0.250 Hg
0.249 0.249 0.749 Hg
0.332 0.332 0.997 Hg
0.500 0.500 0.500 Hg
0.668 0.668 0.003 Hg
0.751 0.751 0.251 Hg
0.915 0.915 0.750 Hg
```

Results
Formation enthalpy at 0 K ... 0.011 eV per atom
Space-group type ... C2/m, No. 12

---

11.
# InHg

A geometry-optimized InHg structure (PBE, the Alexandria database).

Geometry as POSCAR:
```
InHg
1.0
0.000 3.334 3.334
3.334 0.000 3.334
3.334 3.334 0.000
In Hg
1 1
direct
0.000 0.000 0.000 In
0.750 0.750 0.750 Hg
```

Results
Formation enthalpy at 0 K ... 0.262 eV per atom
Space-group type ... F-43m, No. 216

---

no.,total moment (Bohr magnetons per cell),total energy (eV/cell)
1,0.0,-20.46
2,0.0,-7.60
3,0.0,-17.64
4,0.0,-5.88
5,0.0,-2.64
6,0.0,-12.13
7,0.0,-12.01
8,0.0,-13.90
9,0.0,-17.32
10,0.0,-15.67
11,0.0,-2.52